This record from Alexandria describes an optimized crystal structure of CsMn2MoRh. The functional is PBE.

Size of the total moment: 1.03 μB per atom
Total DFT energy (no corrections): -23.1 eV per cell
Symmetry: No. 123
ΔE_f: 2.861 eV/atom

Structure (POSCAR):
```
CsMn2MoRh
1.0
4.753 0.000 0.000
0.000 4.938 0.000
0.000 0.000 4.753
Mo Mn Rh Cs
1 2 1 1
direct
0.000 0.500 0.000
0.500 0.000 0.000
0.000 0.000 0.500
0.500 0.500 0.500
0.000 0.000 0.000
```